No. 1
## Tl2Sn2Cl7 (PBE-GGA)

Data for a relaxed Tl2Sn2Cl7 crystal.

Summary:
* VASP energy: -3.2809 eV per atom
* formation energy (no corrections): -0.9477 eV per atom
* magnetic moment: 0.00 μB per formula unit
* energy relative to the lowest polymorph listed for this composition: 0.0 kJ/mol of atoms

Unit cell a=7.679 b=7.679 c=6.778 alpha=92.96 beta=92.96 gamma=92.43
Fractional coordinates of all 11 atoms:
Tl: 0.226 0.774 0.000
Tl: 0.774 0.226 0.000
Sn: 0.221 0.221 0.564
Sn: 0.726 0.726 0.498
Cl: 0.019 0.447 0.729
Cl: 0.156 0.156 0.193
Cl: 0.447 0.019 0.729
Cl: 0.464 0.464 0.529
Cl: 0.588 0.902 0.233
Cl: 0.902 0.588 0.233
Cl: 0.975 0.975 0.642


No. 2
## GaRe2Se (PBE-GGA)

Data for a relaxed GaRe2Se crystal.

Summary:
* VASP energy: -7.3274 eV per atom
* formation energy (no corrections): 0.5245 eV per atom
* magnetic moment: 0.00 μB per formula unit
* energy relative to the lowest polymorph listed for this composition: 0.0 kJ/mol of atoms

Unit cell a=6.187 b=6.187 c=6.187 alpha=90.00 beta=90.00 gamma=90.00
Fractional coordinates of all 16 atoms:
Ga: 0.000 0.000 0.000
Ga: 0.000 0.500 0.500
Ga: 0.500 0.000 0.500
Ga: 0.500 0.500 0.000
Re: 0.250 0.250 0.250
Re: 0.250 0.250 0.750
Re: 0.250 0.750 0.250
Re: 0.250 0.750 0.750
Re: 0.750 0.250 0.250
Re: 0.750 0.250 0.750
Re: 0.750 0.750 0.250
Re: 0.750 0.750 0.750
Se: 0.000 0.000 0.500
Se: 0.000 0.500 0.000
Se: 0.500 0.000 0.000
Se: 0.500 0.500 0.500


No. 3
## KNaCe2S4 (PBE-GGA)

Data for a relaxed KNaCe2S4 crystal.

Summary:
* VASP energy: -5.5890 eV per atom
* formation energy (no corrections): -1.7398 eV per atom
* magnetic moment: 2.01 μB per formula unit

Unit cell a=8.435 b=8.435 c=8.435 alpha=120.61 beta=119.50 gamma=89.91
Fractional coordinates of all 16 atoms:
K: 0.500 0.000 0.000
K: 0.500 0.500 0.500
Na: 0.000 0.000 0.000
Na: 0.500 0.000 0.500
Ce: 0.000 0.000 0.500
Ce: 0.000 0.500 0.000
Ce: 0.000 0.500 0.500
Ce: 0.500 0.500 0.000
S: 0.215 0.740 0.475
S: 0.235 0.260 0.975
S: 0.238 0.255 0.517
S: 0.238 0.721 0.983
S: 0.762 0.279 0.017
S: 0.762 0.745 0.483
S: 0.765 0.740 0.025
S: 0.785 0.260 0.525


No. 4
## Na9Cd2Hg (PBE-GGA)

Data for a relaxed Na9Cd2Hg crystal.

Summary:
* VASP energy: -1.2104 eV per atom
* magnetic moment: 0.00 μB per formula unit
* formation enthalpy at 0 K: -43 meV/atom

Unit cell a=6.904 b=6.982 c=9.390 alpha=110.96 beta=99.15 gamma=105.27
Fractional coordinates of all 12 atoms:
Na: 0.000 0.000 0.000
Na: 0.060 0.454 0.812
Na: 0.127 0.124 0.398
Na: 0.441 0.479 0.264
Na: 0.483 0.105 0.858
Na: 0.517 0.895 0.142
Na: 0.559 0.521 0.736
Na: 0.873 0.876 0.602
Na: 0.940 0.546 0.188
Cd: 0.216 0.653 0.551
Cd: 0.784 0.347 0.449
Hg: 0.500 0.000 0.500


No. 5
## LaPuO6 (PBE-GGA)

Data for a relaxed LaPuO6 crystal.

Summary:
* VASP energy: -8.2806 eV per atom
* formation energy (no corrections): -2.1545 eV per atom
* magnetic moment: 0.99 μB per formula unit

Unit cell a=6.089 b=6.089 c=6.089 alpha=58.35 beta=58.35 gamma=58.35
Fractional coordinates of all 8 atoms:
La: 0.000 0.000 0.000
Pu: 0.500 0.500 0.500
O: 0.204 0.349 0.722
O: 0.278 0.796 0.651
O: 0.349 0.722 0.204
O: 0.651 0.278 0.796
O: 0.722 0.204 0.349
O: 0.796 0.651 0.278


No. 6
## AsNCl3 (PBE-GGA)

Data for a relaxed AsNCl3 crystal.

Summary:
* VASP energy: -3.2429 eV per atom
* formation energy (no corrections): 0.4601 eV per atom
* magnetic moment: 2.98 μB per formula unit
* energy relative to the lowest polymorph listed for this composition: 0.0 kJ/mol of atoms

Unit cell a=5.723 b=7.666 c=8.812 alpha=89.19 beta=89.95 gamma=68.10
Fractional coordinates of all 10 atoms:
As: 0.029 0.052 0.250
As: 0.971 0.948 0.750
N: 0.338 0.491 0.256
N: 0.662 0.509 0.744
Cl: 0.046 0.745 0.563
Cl: 0.048 0.744 0.942
Cl: 0.444 0.944 0.250
Cl: 0.556 0.056 0.750
Cl: 0.952 0.256 0.058
Cl: 0.954 0.255 0.437


No. 7
## PmMg2Hg2 (PBE-GGA)

Data for a relaxed PmMg2Hg2 crystal.

Summary:
* VASP energy: -2.0352 eV per atom
* magnetic moment: 0.00 μB per formula unit
* formation enthalpy at 0 K: -327 meV/atom

Unit cell a=4.372 b=4.372 c=12.924 alpha=90.00 beta=90.00 gamma=90.00
Fractional coordinates of all 10 atoms:
Pm: 0.000 0.000 0.000
Pm: 0.500 0.500 0.500
Mg: 0.000 0.500 0.250
Mg: 0.000 0.500 0.750
Mg: 0.500 0.000 0.250
Mg: 0.500 0.000 0.750
Hg: 0.000 0.000 0.390
Hg: 0.000 0.000 0.610
Hg: 0.500 0.500 0.110
Hg: 0.500 0.500 0.890


No. 8
## Mn2ZnHg (PBE-GGA)

Data for a relaxed Mn2ZnHg crystal.

Summary:
* VASP energy: -4.4083 eV per atom
* magnetic moment: 7.42 μB per formula unit
* energy relative to the lowest polymorph listed for this composition: 36.6 kJ/mol of atoms
* formation enthalpy at 0 K: 570 meV/atom

Unit cell a=3.901 b=3.901 c=19.062 alpha=90.00 beta=90.00 gamma=90.00
Fractional coordinates of all 16 atoms:
Mn: 0.242 0.250 0.125
Mn: 0.250 0.742 0.375
Mn: 0.250 0.758 0.875
Mn: 0.258 0.250 0.625
Mn: 0.742 0.750 0.625
Mn: 0.750 0.242 0.875
Mn: 0.750 0.258 0.375
Mn: 0.758 0.750 0.125
Zn: 0.000 0.000 0.000
Zn: 0.000 0.500 0.250
Zn: 0.500 0.000 0.750
Zn: 0.500 0.500 0.500
Hg: 0.000 0.000 0.500
Hg: 0.000 0.500 0.750
Hg: 0.500 0.000 0.250
Hg: 0.500 0.500 0.000